Computed, not measured: crystalline Be3OsS at its relaxed geometry at the PBE level of DFT.

Computed properties:
distance to the lowest polymorph of the same formula: 0 meV/atom
ΔE_f (raw): 861 meV/atom
SG: Pm-3m, No. 221

Structure (extended XYZ):
```
5
Lattice="-1.378 0.367 -3.675 3.312 -1.611 -1.403 -1.633 -3.578 0.255" Properties=species:S:1:pos:R:3 pbc="T T T"
Be -0.816 -1.789 0.127
Be 1.656 -0.806 -0.701
Be -0.689 0.184 -1.837
S 0.000 0.000 0.000
Os 0.151 -2.411 -2.412
```

Computed, not measured: crystalline BeOsS2 at its relaxed geometry at the PBE level of DFT.

Computed properties:
ΔE_f (raw): 75 meV/atom
SG: R-3m, No. 166

Structure (extended XYZ):
```
4
Lattice="1.313 6.280 3.648 1.167 4.315 5.872 3.702 4.663 4.361" Properties=species:S:1:pos:R:3 pbc="T T T"
Os 0.000 0.000 0.000
S 0.646 1.594 1.450
S 5.536 13.664 12.430
Be 3.091 7.629 6.940
```